Compound: Pm2TmZr
Source: Alexandria via LeMat-Bulk
Functional: GGA-PBE
Structure: relaxed

Calculated values
E_tot, eV/atom: -5.33
DFT formation energy, meV per atom: 299.9
Excess energy over the best structure of this formula in the dataset, meV/atom: 187

Cell: 3.391 3.391 12.232 Å, 82.03 82.03 60.00°
Atoms (fractional coordinates):
Pm  0.086  0.086  0.742
Pm  0.914  0.914  0.258
Zr  0.000  0.000  0.000
Tm  0.500  0.500  0.500


Compound: Hf2Mg2S
Source: Alexandria via LeMat-Bulk
Functional: GGA-PBE
Structure: relaxed

Calculated values
E_tot, eV/atom: -5.84
Excess energy over the best structure of this formula in the dataset, meV/atom: 0
Uncorrected formation energy, eV/atom: -0.400

Cell: 6.606 6.606 5.042 Å, 90.00 90.00 90.00°
Atoms (fractional coordinates):
Hf  0.661  0.161  0.000
Hf  0.161  0.339  0.000
Hf  0.339  0.839  0.000
Hf  0.839  0.661  0.000
S  0.500  0.500  0.000
S  0.000  0.000  0.000
Mg  0.850  0.350  0.500
Mg  0.650  0.850  0.500
Mg  0.350  0.150  0.500
Mg  0.150  0.650  0.500


Compound: AcZrSbO6
Source: Alexandria via LeMat-Bulk
Functional: GGA-PBE
Structure: relaxed

Calculated values
E_tot, eV/atom: -7.85
Uncorrected formation energy, eV/atom: -2.684

Cell: 5.506 5.506 10.676 Å, 90.00 90.00 120.00°
Atoms (fractional coordinates):
O  0.380  0.015  0.144
O  0.620  0.635  0.644
O  0.635  0.015  0.356
O  0.365  0.380  0.856
O  0.015  0.635  0.856
O  0.985  0.365  0.144
O  0.985  0.620  0.356
O  0.015  0.380  0.644
O  0.620  0.985  0.856
O  0.635  0.620  0.144
O  0.365  0.985  0.644
O  0.380  0.365  0.356
Ac  0.000  0.000  0.000
Ac  0.000  0.000  0.500
Zr  0.333  0.667  0.250
Zr  0.667  0.333  0.750
Sb  0.333  0.667  0.750
Sb  0.667  0.333  0.250


Compound: Gd3ErC
Source: Alexandria via LeMat-Bulk
Functional: GGA-PBE
Structure: relaxed

Calculated values
E_tot, eV/atom: -11.20
DFT formation energy, meV per atom: 6.5

Cell: 5.107 5.107 5.107 Å, 90.00 90.00 90.00°
Each line ends with the local moment (μB).
Atoms (fractional coordinates):
Gd  0.500  0.000  0.000  7.22
Gd  0.000  0.500  0.000  7.22
Gd  0.000  0.000  0.500  7.22
Er  0.500  0.500  0.500  0.49
C  0.000  0.000  0.000  -0.06


no.,D(E_F) (states/eV/cell)
1,4.81
2,3.83
3,0.00
4,7.41